Density functional theory data (PBE) for Li2ReSi after structural relaxation.

Cell: 5.2902 5.2902 4.1533 Å, 66.96 66.96 30.30°
Element x y z (fractional)
Si 0.2500 0.2500 0.2500
Re 0.7500 0.7500 0.7500
Li 0.9875 0.9875 0.0124
Li 0.5125 0.5125 0.4876

**Formation energy without anion corrections**: -0.104 eV/atom
**Symmetry**: No. 12

---

Density functional theory data (PBE) for LiPuGa4Pt2 after structural relaxation.

Cell: 4.3139 4.3139 8.8955 Å, 75.97 75.97 60.00°
Element x y z (fractional)
Ga 0.8705 0.8705 0.3885
Ga 0.6026 0.6026 0.1921
Ga 0.3974 0.3974 0.8079
Li 0.5000 0.5000 0.5000
Pt 0.2346 0.2346 0.2962
Pt 0.7654 0.7654 0.7038
Ga 0.1295 0.1295 0.6115
Pu 0.0000 0.0000 0.0000

**Symmetry**: No. 166
**Energy relative to the elements**: -0.60 eV per atom